Compound: CeZr2Cr
Source: the Alexandria database
Functional: PBE
Structure: relaxed

## Properties
energy relative to the elements	0.368	eV/atom
size of the total moment	0.000	μB/atom
total energy	-7.795	eV/atom

abc: 3.1337 3.1337 30.1847
angles: 90.00 90.00 120.00
Space group R-3m (No. 166, hexagonal axes)
Symmetry-distinct sites (fractional):
Ce 0.0000 0.0000 0.0000
Zr 0.0000 0.0000 0.1017
Cr 0.0000 0.0000 0.5000